1.
Computed, not measured: an optimized crystal structure of Nd6TlIr2 at the PBE level of DFT.

Cell lengths 11.0238, 4.9818, 9.5351 Å; angles 90.00, 103.64, 90.00 degrees
Space group C2/m (No. 12)
Symmetry-distinct sites (fractional):
Nd: 0.0285 0.0000 0.3487
Nd: 0.1647 0.5000 0.8885
Nd: 0.2109 0.5000 0.3358
Tl: 0.0000 0.0000 0.0000
Ir: 0.1226 0.5000 0.5936

Computed properties:
- magnetization (μB per atom) = 0.00
- energy relative to the lowest polymorph listed for this composition (eV per atom) = 0.071
- density (g cm⁻³) = 9.49
- D(E_F) (states/eV per cell) = 12.78
- formation energy from the elements (eV/atom) = -0.396

=====

2.
Computed, not measured: an optimized crystal structure of Ac2In4Hg3Pd at the PBE level of DFT.

Cell lengths 4.8116, 4.8116, 11.7221 Å; angles 90.00, 90.00, 90.00 degrees
Space group P-4m2 (No. 115)
Symmetry-distinct sites (fractional):
Ac: 0.0000 0.5000 0.2329
In: 0.0000 0.0000 0.5000
In: 0.0000 0.5000 0.8804
In: 0.5000 0.5000 0.5000
Hg: 0.0000 0.0000 0.0000
Hg: 0.0000 0.5000 0.6442
Pd: 0.5000 0.5000 0.0000

Computed properties:
- magnetization (μB per atom) = 0.00
- density (g cm⁻³) = 9.92
- D(E_F) (states/eV per cell) = 6.30
- formation energy from the elements (eV/atom) = -0.398

=====

3.
Computed, not measured: an optimized crystal structure of VHgH at the PBE level of DFT.

Cell lengths 2.9807, 2.9807, 10.4345 Å; angles 90.00, 90.00, 120.00 degrees
Space group P6_3mc (No. 186)
Symmetry-distinct sites (fractional):
V: 0.3333 0.6667 0.0000
Hg: 0.3333 0.6667 0.7277
H: 0.0000 0.0000 0.4531

Computed properties:
- magnetization (μB per atom) = 0.00
- energy relative to the lowest polymorph listed for this composition (eV per atom) = 0.258
- density (g cm⁻³) = 10.45
- D(E_F) (states/eV per cell) = 5.45

=====

4.
Computed, not measured: an optimized crystal structure of VGaTcRh at the PBE level of DFT.

Cell lengths 6.0605, 6.0605, 6.0605 Å; angles 90.00, 90.00, 90.00 degrees
Space group F-43m (No. 216)
Symmetry-distinct sites (fractional):
V: 0.0000 0.0000 0.0000
Ga: 0.0000 0.0000 0.5000
Tc: 0.2500 0.2500 0.7500
Rh: 0.2500 0.2500 0.2500

Computed properties:
- magnetization (μB per atom) = 0.00
- density (g cm⁻³) = 9.60
- D(E_F) (states/eV per cell) = 3.20
- formation energy from the elements (eV/atom) = -0.456

=====

5.
Computed, not measured: an optimized crystal structure of ThPaSi2 at the PBE level of DFT.

Cell lengths 4.6097, 4.6097, 15.5786 Å; angles 90.00, 90.00, 120.00 degrees
Space group R-3m (No. 166, hexagonal axes)
Symmetry-distinct sites (fractional):
Th: 0.0000 0.0000 0.0000
Pa: 0.0000 0.0000 0.5000
Si: 0.0000 0.0000 0.2410

Computed properties:
- magnetization (μB per atom) = 0.00
- energy relative to the lowest polymorph listed for this composition (eV per atom) = 0.000
- density (g cm⁻³) = 9.02
- D(E_F) (states/eV per cell) = 13.30
- ΔE_f (raw) (kcal/mol of atoms) = -9.48

=====

6.
Computed, not measured: an optimized crystal structure of Ac4PmHo3Se8 at the PBE level of DFT.

Cell lengths 8.3456, 8.3456, 22.0428 Å; angles 90.00, 90.00, 120.00 degrees
Space group R-3m (No. 166, hexagonal axes)
Symmetry-distinct sites (fractional):
Ac: 0.0000 0.0000 0.0000
Ac: 0.0000 0.5000 0.0000
Pm: 0.0000 0.0000 0.5000
Ho: 0.0000 0.5000 0.5000
Se: 0.0000 0.0000 0.2390
Se: 0.0066 0.5033 0.7597

Computed properties:
- magnetization (μB per atom) = 0.00
- density (g cm⁻³) = 8.17
- D(E_F) (states/eV per cell) = 23.95
- ΔE_f (raw) (kcal/mol of atoms) = -41.45

=====

7.
Computed, not measured: an optimized crystal structure of Hf8SiSb2 at the PBE level of DFT.

Cell lengths 16.5770, 3.8165, 7.6537 Å; angles 90.00, 92.22, 90.00 degrees
Space group C2/m (No. 12)
Symmetry-distinct sites (fractional):
Hf: 0.0206 0.0000 0.2389
Hf: 0.0878 0.5000 0.5210
Hf: 0.1596 0.5000 0.0454
Hf: 0.2044 0.0000 0.3597
Si: 0.0000 0.5000 0.0000
Sb: 0.1744 0.0000 0.7583

Computed properties:
- magnetization (μB per atom) = 0.00
- density (g cm⁻³) = 11.67
- D(E_F) (states/eV per cell) = 16.25
- ΔE_f (raw) (kcal/mol of atoms) = -7.54

=====

8.
Computed, not measured: an optimized crystal structure of Ca2SnBi2 at the PBE level of DFT.

Cell lengths 5.2085, 5.2085, 14.1183 Å; angles 90.00, 90.00, 120.00 degrees
Space group P6_3/mmc (No. 194)
Symmetry-distinct sites (fractional):
Ca: 0.3333 0.6667 0.0991
Sn: 0.0000 0.0000 0.2500
Bi: 0.0000 0.0000 0.0000
Bi: 0.3333 0.6667 0.7500

Computed properties:
- magnetization (μB per atom) = 0.00
- energy relative to the lowest polymorph listed for this composition (eV per atom) = 0.000
- density (g cm⁻³) = 6.18
- D(E_F) (states/eV per cell) = 3.62
- formation energy from the elements (eV/atom) = -0.537